## LiBiI3 (SCAN)

Data for a PBEsol-optimized structure of LiBiI3.

Calculated values
The size of the total moment is 0.0 μB per formula unit. The calculation puts the electronic total energy at -38.433 eV/atom. For the density of states at the Fermi level, the calculation gives 0.60 states/eV per atom. The uncorrected formation energy comes out at -0.194 eV per atom.

Cell lengths 5.308, 5.308, 5.308 Å; angles 90.00, 90.00, 90.00 degrees
Space group Pm-3m (No. 221)
Asymmetric unit:
1 Li 0.000 0.000 0.000
2 Bi 0.500 0.500 0.500
3 I 0.000 0.000 0.500


## Li3BiI (SCAN)

Data for a PBEsol-optimized structure of Li3BiI.

Calculated values
The size of the total moment is 1.0 μB per formula unit. The calculation puts the electronic total energy at -24.873 eV/atom. For the density of states at the Fermi level, the calculation gives 0.80 states/eV per atom. The uncorrected formation energy comes out at -0.375 eV per atom.

Cell lengths 5.312, 5.312, 5.312 Å; angles 90.00, 90.00, 90.00 degrees
Space group Pm-3m (No. 221)
Asymmetric unit:
1 Li 0.000 0.000 0.500
2 Bi 0.000 0.000 0.000
3 I 0.500 0.500 0.500


## LiBiSb2I (SCAN)

Data for a PBEsol-optimized structure of LiBiSb2I.

Calculated values
The size of the total moment is 0.0 μB per formula unit. The calculation puts the electronic total energy at -38.097 eV/atom. For the density of states at the Fermi level, the calculation gives 0.79 states/eV per atom. The uncorrected formation energy comes out at 0.350 eV per atom.

Cell lengths 5.114, 5.114, 5.077 Å; angles 90.00, 90.00, 90.00 degrees
Space group P4/mmm (No. 123)
Asymmetric unit:
1 Li 0.000 0.000 0.000
2 Bi 0.500 0.500 0.500
3 Sb 0.000 0.500 0.000
4 I 0.000 0.000 0.500


## LiSiBi2I (SCAN)

Data for a PBEsol-optimized structure of LiSiBi2I.

Calculated values
The size of the total moment is 0.0 μB per formula unit. The calculation puts the electronic total energy at -40.949 eV/atom. For the density of states at the Fermi level, the calculation gives 0.79 states/eV per atom. The uncorrected formation energy comes out at 0.312 eV per atom.

Cell lengths 5.432, 5.432, 5.053 Å; angles 90.00, 90.00, 90.00 degrees
Space group P4/mmm (No. 123)
Asymmetric unit:
1 Li 0.000 0.000 0.000
2 Si 0.000 0.000 0.500
3 Bi 0.000 0.500 0.500
4 I 0.500 0.500 0.000


## MgBiI2 (SCAN)

Data for a PBEsol-optimized structure of MgBiI2.

Calculated values
The size of the total moment is 0.0 μB per formula unit. The calculation puts the electronic total energy at -39.351 eV/atom. For the density of states at the Fermi level, the calculation gives 0.71 states/eV per atom. The uncorrected formation energy comes out at -0.092 eV per atom.

Cell lengths 8.502, 8.502, 7.157 Å; angles 90.00, 90.00, 90.00 degrees
Space group I-42d (No. 122)
Asymmetric unit:
1 Mg 0.000 0.000 0.000
2 Bi 0.000 0.000 0.500
3 I 0.203 0.250 0.125


## Mg3BiI (SCAN)

Data for a PBEsol-optimized structure of Mg3BiI.

Calculated values
The size of the total moment is 0.0 μB per formula unit. The calculation puts the electronic total energy at -25.550 eV/atom. For the density of states at the Fermi level, the calculation gives 0.54 states/eV per atom. The uncorrected formation energy comes out at 0.499 eV per atom.

Cell lengths 5.495, 5.495, 5.495 Å; angles 90.00, 90.00, 90.00 degrees
Space group Pm-3m (No. 221)
Asymmetric unit:
1 Mg 0.000 0.000 0.500
2 Bi 0.500 0.500 0.500
3 I 0.000 0.000 0.000